Record 1
VASP calculation (PBE-GGA) on a relaxed structure of TbPrY5Ho2.

The structure in CIF format:
```
data_TbPrY5Ho2
_symmetry_space_group_name_H-M 'C m c 21'
_symmetry_Int_Tables_number 36
_symmetry_space_group_name_Hall 'C 2c -2'
_cell_length_a 5.644
_cell_length_b 20.112
_cell_length_c 10.571
_cell_angle_alpha 90.00
_cell_angle_beta 90.00
_cell_angle_gamma 90.00
loop_
_atom_site_label
_atom_site_type_symbol
_atom_site_fract_x
_atom_site_fract_y
_atom_site_fract_z
Tb1 Tb 0.000 0.086 0.000
Pr1 Pr 0.000 0.302 0.564
Y1 Y 0.000 0.022 0.287
Y2 Y 0.000 0.110 0.575
Y3 Y 0.000 0.199 0.256
Y4 Y 0.000 0.221 0.863
Y5 Y 0.000 0.484 0.574
Ho1 Ho 0.000 0.387 0.870
Ho2 Ho 0.000 0.390 0.286
```

Results
Energy (eV per atom): -5.498
Fermi-level density of states (states/eV per cell): 60.7
E_form (eV/atom): 0.16
ρ (Mg/m³): 5.946

Record 2
VASP calculation (PBE-GGA) on a relaxed structure of Be4AsPb.

The structure in CIF format:
```
data_Be4AsPb
_symmetry_space_group_name_H-M 'F -4 3 m'
_symmetry_Int_Tables_number 216
_symmetry_space_group_name_Hall 'F -4 2 3'
_cell_length_a 6.958
_cell_length_b 6.958
_cell_length_c 6.958
_cell_angle_alpha 90.00
_cell_angle_beta 90.00
_cell_angle_gamma 90.00
loop_
_atom_site_label
_atom_site_type_symbol
_atom_site_fract_x
_atom_site_fract_y
_atom_site_fract_z
Be1 Be 0.124 0.124 0.376
As1 As 0.250 0.250 0.750
Pb1 Pb 0.000 0.000 0.000
```

Results
Energy (eV per atom): -3.272
Fermi-level density of states (states/eV per cell): 7.0
E_form (eV/atom): 0.60
ρ (Mg/m³): 6.273

Record 3
VASP calculation (PBE-GGA) on a relaxed structure of Y2CrCl.

The structure in CIF format:
```
data_Y2CrCl
_symmetry_space_group_name_H-M 'P m m m'
_symmetry_Int_Tables_number 47
_symmetry_space_group_name_Hall '-P 2 2'
_cell_length_a 3.424
_cell_length_b 3.549
_cell_length_c 8.237
_cell_angle_alpha 90.00
_cell_angle_beta 90.00
_cell_angle_gamma 90.00
loop_
_atom_site_label
_atom_site_type_symbol
_atom_site_fract_x
_atom_site_fract_y
_atom_site_fract_z
Y1 Y 0.000 0.000 0.215
Cr1 Cr 0.500 0.500 0.000
Cl1 Cl 0.500 0.000 0.500
```

Results
ΔE to the lowest computed polymorph (meV/atom): 0
Raw formation energy (eV/atom): -0.468
Energy (eV per atom): -6.568
Fermi-level density of states (states/eV per cell): 2.6
ρ (Mg/m³): 4.400

Record 4
VASP calculation (PBE-GGA) on a relaxed structure of Tm6SnBi2.

The structure in CIF format:
```
data_Tm6SnBi2
_symmetry_space_group_name_H-M 'P 1 21/c 1'
_symmetry_Int_Tables_number 14
_symmetry_space_group_name_Hall '-P 2ybc'
_cell_length_a 6.275
_cell_length_b 8.225
_cell_length_c 12.035
_cell_angle_alpha 90.00
_cell_angle_beta 120.87
_cell_angle_gamma 90.00
loop_
_atom_site_label
_atom_site_type_symbol
_atom_site_fract_x
_atom_site_fract_y
_atom_site_fract_z
Tm1 Tm 0.068 0.209 0.450
Tm2 Tm 0.322 0.655 0.456
Tm3 Tm 0.368 0.041 0.226
Sn1 Sn 0.500 0.000 0.500
Bi1 Bi 0.133 0.111 0.737
```

Results
Energy (eV per atom): -4.696
Fermi-level density of states (states/eV per cell): 17.8
E_form (eV/atom): -0.41
ρ (Mg/m³): 9.657

Record 5
VASP calculation (PBE-GGA) on a relaxed structure of TlWN2Cl.

The structure in CIF format:
```
data_TlWN2Cl
_symmetry_space_group_name_H-M 'P 4/m m m'
_symmetry_Int_Tables_number 123
_symmetry_space_group_name_Hall '-P 4 2'
_cell_length_a 4.199
_cell_length_b 4.199
_cell_length_c 4.471
_cell_angle_alpha 90.00
_cell_angle_beta 90.00
_cell_angle_gamma 90.00
loop_
_atom_site_label
_atom_site_type_symbol
_atom_site_fract_x
_atom_site_fract_y
_atom_site_fract_z
Tl1 Tl 0.000 0.000 0.000
W1 W 0.500 0.500 0.000
N1 N 0.000 0.500 0.500
Cl1 Cl 0.500 0.500 0.500
```

Results
Raw formation energy (eV/atom): 2.547
Energy (eV per atom): -4.216
Fermi-level density of states (states/eV per cell): 5.3
ρ (Mg/m³): 9.512

Record 6
VASP calculation (PBE-GGA) on a relaxed structure of Sr2NdHg2.

The structure in CIF format:
```
data_Sr2NdHg2
_symmetry_space_group_name_H-M 'C m m m'
_symmetry_Int_Tables_number 65
_symmetry_space_group_name_Hall '-C 2 2'
_cell_length_a 3.960
_cell_length_b 22.894
_cell_length_c 3.889
_cell_angle_alpha 90.00
_cell_angle_beta 90.00
_cell_angle_gamma 90.00
loop_
_atom_site_label
_atom_site_type_symbol
_atom_site_fract_x
_atom_site_fract_y
_atom_site_fract_z
Sr1 Sr 0.000 0.168 0.000
Nd1 Nd 0.000 0.000 0.000
Hg1 Hg 0.000 0.419 0.500
```

Results
Energy (eV per atom): -2.125
Fermi-level density of states (states/eV per cell): 9.4
E_form (eV/atom): -0.38
ρ (Mg/m³): 6.788